# Pu2O3 (PBE-GGA, optimized geometry)
# Magnetization, Bohr magnetons per cell: 10.00
# Volume, Å³/cell: 73.36
# Calculated total energy, eV/atom: -11.66
data_Pu2O3
_chemical_formula_sum 'Pu2 O3'
_cell_length_a 3.7652
_cell_length_b 3.7652
_cell_length_c 5.9753
_cell_angle_alpha 90.00
_cell_angle_beta 90.00
_cell_angle_gamma 120.00
_space_group_name_H-M_alt 'P -3 m 1'
_space_group_IT_number 164
_space_group_name_Hall '-P 3 2"'
loop_
_atom_site_label
_atom_site_fract_x
_atom_site_fract_y
_atom_site_fract_z
Pu1 0.3333 0.6667 0.2434
O1 0.0000 0.0000 0.0000
O2 0.3333 0.6667 0.6418